Compound: LaTe2Cl
Source: the Alexandria database
Functional: PBE-GGA
Structure: relaxed

Results
Formation energy from raw total energies, eV per atom: -1.068
Energy above the most stable polymorph in this dataset, eV/f.u.: 0.96

Lattice parameters (Å, degrees): 4.424 4.424 24.498 90.00 90.00 90.00
Space group I-42d (No. 122)
One atom of each set of equivalent atoms:
La 0.000 0.000 0.000
Te 0.245 0.250 0.125
Cl 0.000 0.000 0.500

Compound: LaTe2Cl
Source: the Alexandria database
Functional: PBE-GGA
Structure: relaxed

Results
Formation energy from raw total energies, eV per atom: -0.950
Energy above the most stable polymorph in this dataset, eV/f.u.: 1.43

Lattice parameters (Å, degrees): 4.9010 4.9010 25.4697 90.00 90.00 120.00
Space group R-3m (No. 166, hexagonal axes)
One atom of each set of equivalent atoms:
La 0.0000 0.0000 0.0000
Te 0.0000 0.0000 0.3955
Cl 0.0000 0.0000 0.5000

Compound: La4Te3Cl
Source: the Alexandria database
Functional: PBE-GGA
Structure: relaxed

Results
Formation energy from raw total energies, eV per atom: -1.570
Energy above the most stable polymorph in this dataset, eV/f.u.: 0.00

Lattice parameters (Å, degrees): 4.5068 4.5068 43.3602 90.00 90.00 120.00
Space group R-3m (No. 166, hexagonal axes)
One atom of each set of equivalent atoms:
La 0.0000 0.0000 0.1229
La 0.0000 0.0000 0.3684
Te 0.0000 0.0000 0.2548
Te 0.0000 0.0000 0.5000
Cl 0.0000 0.0000 0.0000

Compound: LaTe2Cl
Source: the Alexandria database
Functional: PBE-GGA
Structure: relaxed

Results
Formation energy from raw total energies, eV per atom: -0.800
Energy above the most stable polymorph in this dataset, eV/f.u.: 2.03

Lattice parameters (Å, degrees): 7.797 7.797 7.797 90.00 90.00 90.00
Space group Fm-3m (No. 225)
One atom of each set of equivalent atoms:
La 0.000 0.000 0.000
Te 0.250 0.250 0.250
Cl 0.000 0.000 0.500

Compound: LaTe4Cl
Source: the Alexandria database
Functional: PBE-GGA
Structure: relaxed

Results
Formation energy from raw total energies, eV per atom: -0.542

Lattice parameters (Å, degrees): 8.961 8.961 8.961 90.00 90.00 90.00
Space group F-43m (No. 216)
One atom of each set of equivalent atoms:
La 0.000 0.000 0.000
Te 0.125 0.125 0.625
Cl 0.250 0.250 0.250

Compound: LaTeCl2
Source: the Alexandria database
Functional: PBE-GGA
Structure: relaxed

Results
Formation energy from raw total energies, eV per atom: -1.415
Energy above the most stable polymorph in this dataset, eV/f.u.: 0.90

Lattice parameters (Å, degrees): 3.563 3.563 8.859 90.00 90.00 90.00
Space group P4/mmm (No. 123)
One atom of each set of equivalent atoms:
La 0.000 0.000 0.000
Te 0.000 0.000 0.500
Cl 0.500 0.500 0.174

Compound: LaTeCl2
Source: the Alexandria database
Functional: PBE-GGA
Structure: relaxed

Results
Formation energy from raw total energies, eV per atom: -1.334
Energy above the most stable polymorph in this dataset, eV/f.u.: 1.22

Lattice parameters (Å, degrees): 4.707 4.707 4.769 90.00 90.00 90.00
Space group P4/mmm (No. 123)
One atom of each set of equivalent atoms:
La 0.000 0.000 0.000
Te 0.500 0.500 0.000
Cl 0.000 0.500 0.500

Compound: LaTe2Cl
Source: the Alexandria database
Functional: PBE-GGA
Structure: relaxed

Results
Formation energy from raw total energies, eV per atom: -1.299
Energy above the most stable polymorph in this dataset, eV/f.u.: 0.03

Lattice parameters (Å, degrees): 5.424 4.753 5.750 90.00 104.16 90.00
Space group P2/m (No. 10)
One atom of each set of equivalent atoms:
La 0.000 0.000 0.000
Te 0.416 0.500 0.215
Cl 0.000 0.000 0.500

Compound: LaTeCl2
Source: the Alexandria database
Functional: PBE-GGA
Structure: relaxed

Results
Formation energy from raw total energies, eV per atom: -1.640
Energy above the most stable polymorph in this dataset, eV/f.u.: 0.00

Lattice parameters (Å, degrees): 12.597 3.855 7.208 90.00 118.71 90.00
Space group Cm (No. 8)
One atom of each set of equivalent atoms:
La 0.000 0.000 0.000
Te 0.218 0.500 0.000
Cl 0.028 0.500 0.299
Cl 0.365 0.000 0.699

Compound: LaTe2Cl
Source: the Alexandria database
Functional: PBE-GGA
Structure: relaxed

Results
Formation energy from raw total energies, eV per atom: -1.250
Energy above the most stable polymorph in this dataset, eV/f.u.: 0.23

Lattice parameters (Å, degrees): 4.553 4.553 10.710 90.00 90.00 90.00
Space group I4/mmm (No. 139)
One atom of each set of equivalent atoms:
La 0.000 0.000 0.000
Te 0.000 0.500 0.250
Cl 0.000 0.000 0.500

Compound: LaTe2Cl
Source: the Alexandria database
Functional: PBE-GGA
Structure: relaxed

Results
Formation energy from raw total energies, eV per atom: -1.203
Energy above the most stable polymorph in this dataset, eV/f.u.: 0.42

Lattice parameters (Å, degrees): 4.805 4.448 5.482 90.00 90.15 90.00
Space group Pm (No. 6)
One atom of each set of equivalent atoms:
La 0.000 0.000 0.000
Te 0.386 0.000 0.502
Te 0.875 0.500 0.502
Cl 0.377 0.500 0.002

Compound: La4TeCl2
Source: the Alexandria database
Functional: PBE-GGA
Structure: relaxed

Results
Formation energy from raw total energies, eV per atom: -0.874

Lattice parameters (Å, degrees): 6.001 6.001 14.589 90.00 90.00 90.00
Space group I4/mmm (No. 139)
One atom of each set of equivalent atoms:
La 0.000 0.000 0.216
La 0.000 0.500 0.000
Te 0.000 0.000 0.000
Cl 0.000 0.000 0.402

Compound: LaTe2Cl
Source: the Alexandria database
Functional: PBE-GGA
Structure: relaxed

Results
Formation energy from raw total energies, eV per atom: 0.086
Energy above the most stable polymorph in this dataset, eV/f.u.: 5.57

Lattice parameters (Å, degrees): 3.5997 3.5997 33.3387 90.00 90.00 120.00
Space group R-3m (No. 166, hexagonal axes)
One atom of each set of equivalent atoms:
La 0.0000 0.0000 0.0000
Te 0.0000 0.0000 0.0940
Cl 0.0000 0.0000 0.5000

Compound: La4Te3Cl
Source: the Alexandria database
Functional: PBE-GGA
Structure: relaxed

Results
Formation energy from raw total energies, eV per atom: -1.556
Energy above the most stable polymorph in this dataset, eV/f.u.: 0.11

Lattice parameters (Å, degrees): 8.929 12.706 4.520 90.00 90.00 90.00
Space group Cmmm (No. 65)
One atom of each set of equivalent atoms:
La 0.000 0.243 0.000
La 0.237 0.000 0.500
Te 0.000 0.500 0.000
Te 0.250 0.250 0.500
Cl 0.000 0.000 0.000

Compound: LaTe2Cl
Source: the Alexandria database
Functional: PBE-GGA
Structure: relaxed

Results
Formation energy from raw total energies, eV per atom: -1.012
Energy above the most stable polymorph in this dataset, eV/f.u.: 1.18

Lattice parameters (Å, degrees): 3.908 3.908 8.293 90.00 90.00 90.00
Space group P4mm (No. 99)
One atom of each set of equivalent atoms:
La 0.000 0.000 0.000
Te 0.000 0.000 0.412
Te 0.500 0.500 0.205
Cl 0.500 0.500 0.812

Compound: LaTeCl2
Source: the Alexandria database
Functional: PBE-GGA
Structure: relaxed

Results
Formation energy from raw total energies, eV per atom: -1.568
Energy above the most stable polymorph in this dataset, eV/f.u.: 0.29

Lattice parameters (Å, degrees): 14.336 3.828 5.889 90.00 113.98 90.00
Space group C2/m (No. 12)
One atom of each set of equivalent atoms:
La 0.000 0.000 0.000
Te 0.000 0.500 0.500
Cl 0.158 0.500 0.157

Compound: LaTeCl2
Source: the Alexandria database
Functional: PBE-GGA
Structure: relaxed

Results
Formation energy from raw total energies, eV per atom: -1.506
Energy above the most stable polymorph in this dataset, eV/f.u.: 0.53

Lattice parameters (Å, degrees): 4.8949 4.8949 18.6471 90.00 90.00 120.00
Space group R3m (No. 160, hexagonal axes)
One atom of each set of equivalent atoms:
La 0.0000 0.0000 0.0000
Te 0.0000 0.0000 0.8258
Cl 0.0000 0.0000 0.3690
Cl 0.0000 0.0000 0.6167

Compound: LaTeCl2
Source: the Alexandria database
Functional: PBE-GGA
Structure: relaxed

Results
Formation energy from raw total energies, eV per atom: -1.251
Energy above the most stable polymorph in this dataset, eV/f.u.: 1.55

Lattice parameters (Å, degrees): 7.454 7.454 7.454 90.00 90.00 90.00
Space group Fm-3m (No. 225)
One atom of each set of equivalent atoms:
La 0.000 0.000 0.000
Te 0.000 0.000 0.500
Cl 0.250 0.250 0.250

Compound: LaTeCl2
Source: the Alexandria database
Functional: PBE-GGA
Structure: relaxed

Results
Formation energy from raw total energies, eV per atom: -1.587
Energy above the most stable polymorph in this dataset, eV/f.u.: 0.21

Lattice parameters (Å, degrees): 4.463 4.831 5.746 90.00 111.56 90.00
Space group Pm (No. 6)
One atom of each set of equivalent atoms:
La 0.000 0.000 0.000
Te 0.560 0.500 0.195
Cl 0.371 0.000 0.628
Cl 0.965 0.500 0.719

Compound: La3Te2Cl
Source: the Alexandria database
Functional: PBE-GGA
Structure: relaxed

Results
Formation energy from raw total energies, eV per atom: -1.548

Lattice parameters (Å, degrees): 4.555 4.555 18.648 90.00 90.00 90.00
Space group I4/mmm (No. 139)
One atom of each set of equivalent atoms:
La 0.000 0.000 0.000
La 0.000 0.000 0.342
Te 0.000 0.000 0.170
Cl 0.000 0.000 0.500

Compound: LaTeCl2
Source: the Alexandria database
Functional: PBE-GGA
Structure: relaxed

Results
Formation energy from raw total energies, eV per atom: -0.582
Energy above the most stable polymorph in this dataset, eV/f.u.: 4.23

Lattice parameters (Å, degrees): 3.7000 3.7000 34.6360 90.00 90.00 120.00
Space group R-3m (No. 166, hexagonal axes)
One atom of each set of equivalent atoms:
La 0.0000 0.0000 0.0000
Te 0.0000 0.0000 0.5000
Cl 0.0000 0.0000 0.0744

Compound: LaTeCl2
Source: the Alexandria database
Functional: PBE-GGA
Structure: relaxed

Results
Formation energy from raw total energies, eV per atom: -1.394
Energy above the most stable polymorph in this dataset, eV/f.u.: 0.98

Lattice parameters (Å, degrees): 4.887 4.887 19.947 90.00 90.00 90.00
Space group I-42d (No. 122)
One atom of each set of equivalent atoms:
La 0.000 0.000 0.000
Te 0.000 0.000 0.500
Cl 0.199 0.250 0.125

Compound: LaTeCl2
Source: the Alexandria database
Functional: PBE-GGA
Structure: relaxed

Results
Formation energy from raw total energies, eV per atom: -1.239
Energy above the most stable polymorph in this dataset, eV/f.u.: 1.60

Lattice parameters (Å, degrees): 3.7209 3.7209 33.8197 90.00 90.00 120.00
Space group R-3m (No. 166, hexagonal axes)
One atom of each set of equivalent atoms:
La 0.0000 0.0000 0.0000
Te 0.0000 0.0000 0.5000
Cl 0.0000 0.0000 0.2780

Compound: LaTeCl2
Source: the Alexandria database
Functional: PBE-GGA
Structure: relaxed

Results
Formation energy from raw total energies, eV per atom: -1.462
Energy above the most stable polymorph in this dataset, eV/f.u.: 0.71

Lattice parameters (Å, degrees): 4.448 4.448 5.670 90.00 90.00 90.00
Space group P4mm (No. 99)
One atom of each set of equivalent atoms:
La 0.000 0.000 0.000
Te 0.500 0.500 0.211
Cl 0.000 0.000 0.504
Cl 0.500 0.500 0.719

Compound: LaTe2Cl
Source: the Alexandria database
Functional: PBE-GGA
Structure: relaxed

Results
Formation energy from raw total energies, eV per atom: -0.938
Energy above the most stable polymorph in this dataset, eV/f.u.: 1.48

Lattice parameters (Å, degrees): 7.732 7.732 7.732 90.00 90.00 90.00
Space group F-43m (No. 216)
One atom of each set of equivalent atoms:
La 0.000 0.000 0.000
Te 0.000 0.000 0.500
Te 0.250 0.250 0.250
Cl 0.250 0.250 0.750

Compound: La5Te4Cl
Source: the Alexandria database
Functional: PBE-GGA
Structure: relaxed

Results
Formation energy from raw total energies, eV per atom: -1.575

Lattice parameters (Å, degrees): 4.5201 4.5201 54.6584 90.00 90.00 120.00
Space group R-3m (No. 166, hexagonal axes)
One atom of each set of equivalent atoms:
La 0.0000 0.0000 0.0000
La 0.0000 0.0000 0.1945
La 0.0000 0.0000 0.4032
Te 0.0000 0.0000 0.1046
Te 0.0000 0.0000 0.2984
Cl 0.0000 0.0000 0.5000

Compound: LaTe3Cl
Source: the Alexandria database
Functional: PBE-GGA
Structure: relaxed

Results
Formation energy from raw total energies, eV per atom: -0.066
Energy above the most stable polymorph in this dataset, eV/f.u.: 1.06

Lattice parameters (Å, degrees): 6.189 6.189 6.189 90.00 90.00 90.00
Space group Pm-3m (No. 221)
One atom of each set of equivalent atoms:
La 0.000 0.000 0.000
Te 0.000 0.000 0.500
Cl 0.500 0.500 0.500

Compound: LaTeCl2
Source: the Alexandria database
Functional: PBE-GGA
Structure: relaxed

Results
Formation energy from raw total energies, eV per atom: -1.369
Energy above the most stable polymorph in this dataset, eV/f.u.: 1.08

Lattice parameters (Å, degrees): 6.686 6.788 10.198 90.00 90.00 90.00
Space group Fmmm (No. 69)
One atom of each set of equivalent atoms:
La 0.000 0.000 0.000
Te 0.000 0.000 0.500
Cl 0.250 0.000 0.250

Compound: LaTe2Cl
Source: the Alexandria database
Functional: PBE-GGA
Structure: relaxed

Results
Formation energy from raw total energies, eV per atom: -1.216
Energy above the most stable polymorph in this dataset, eV/f.u.: 0.37

Lattice parameters (Å, degrees): 5.817 8.501 4.921 90.00 90.00 90.00
Space group Cmmm (No. 65)
One atom of each set of equivalent atoms:
La 0.000 0.000 0.000
Te 0.250 0.250 0.500
Cl 0.000 0.500 0.000